# VAuS2

A relaxed structure of VAuS2 (PBE, Alexandria).

- SG = Fm-3m, No. 225
- DOS(E_F) (states/eV per atom) = 0.20
- DFT total energy (eV/cell) = -20.25
- uncorrected formation energy (eV per formula unit) = 0.397

Unit cell a=4.4888 b=4.4888 c=4.4888 alpha=60.00 beta=60.00 gamma=60.00
Last column: nearest neighbours and their distance in Å.
Element x y z (fractional)
S 0.7500 0.7500 0.7500  4 V 2.75, 4 Au 2.75
S 0.2500 0.2500 0.2500  4 Au 2.75, 4 V 2.75
Au 0.5000 0.5000 0.5000  8 S 2.75
V 0.0000 0.0000 0.0000  8 S 2.75

=====

# V3AuS

A relaxed structure of V3AuS (PBE, Alexandria).

- SG = Pm-3m, No. 221
- energy above the lowest structure with this stoichiometry (eV per formula unit) = 0.00
- DOS(E_F) (states/eV per atom) = 0.79
- DFT total energy (eV/cell) = -34.67
- uncorrected formation energy (eV per formula unit) = 0.091

Unit cell a=4.3211 b=4.3211 c=4.3211 alpha=90.00 beta=90.00 gamma=90.00
Last column: nearest neighbours and their distance in Å.
Element x y z (fractional)
V 0.5000 0.0000 0.0000  2 S 2.16
S 0.0000 0.0000 0.0000  6 V 2.16
V 0.0000 0.5000 0.0000  2 S 2.16
V 0.0000 0.0000 0.5000  2 S 2.16
Au 0.5000 0.5000 0.5000  12 V 3.06

=====

# VAuS2

A relaxed structure of VAuS2 (PBE, Alexandria).

- SG = C2, No. 5
- DOS(E_F) (states/eV per atom) = 0.37
- DFT total energy (eV/cell) = -45.97
- uncorrected formation energy (eV per formula unit) = -2.332

Unit cell a=3.2102 b=5.8096 c=7.7825 alpha=103.67 beta=101.91 gamma=89.99
Last column: nearest neighbours and their distance in Å.
Element x y z (fractional)
V 0.0400 0.4653 0.5665  6 S 2.30-2.49
V 0.5440 0.8722 0.5753  6 S 2.30-2.49
S 0.9732 0.0397 0.4018  3 V 2.39-2.49, 1 Au 2.41
S 0.6423 0.2977 0.7399  3 V 2.39-2.49, 1 Au 2.41
Au 0.0311 0.4132 0.0493  2 S 2.41
S 0.4221 0.5195 0.3586  3 V 2.30-2.36, 1 Au 2.41
S 0.1345 0.8179 0.7832  3 V 2.30-2.36, 1 Au 2.41
Au 0.0524 0.9243 0.0924  2 S 2.41